(1)
Mg6ZnCO8: optimized geometry, PBE.

Computed properties:
Raw formation energy (kcal/mol of atoms): -43.974
Calculated volume (Å³ per cell): 152.6
Excess energy over the best structure of this formula in the dataset (eV per atom): 0.0000
Calculated total energy (eV per atom): -5.64

a b c (Å): 4.2293 4.2293 8.5292
angles (deg): 90.00 90.00 90.00
Closest atoms and distances in Å follow each position.
Atoms (fractional coordinates):
Mg  0.0000  0.0000  0.0000  6 O 2.11-2.12
Mg  0.0000  0.0000  0.5000  6 O 2.11-2.14
Mg  0.0000  0.5000  0.2458  6 O 2.10-2.17
Mg  0.0000  0.5000  0.7542  6 O 2.10-2.17
Mg  0.5000  0.0000  0.2458  6 O 2.10-2.17
Mg  0.5000  0.0000  0.7542  6 O 2.10-2.17
Zn  0.5000  0.5000  0.5000  6 O 2.11-2.16
C  0.5000  0.5000  0.0000  6 O 2.10-2.11
O  0.0000  0.0000  0.2488  6 Mg 2.11-2.14
O  0.0000  0.0000  0.7512  6 Mg 2.11-2.14
O  0.0000  0.5000  0.0000  4 Mg 2.10-2.11, 2 C 2.11
O  0.0000  0.5000  0.5000  4 Mg 2.11-2.17, 2 Zn 2.11
O  0.5000  0.0000  0.0000  4 Mg 2.10-2.11, 2 C 2.11
O  0.5000  0.0000  0.5000  4 Mg 2.11-2.17, 2 Zn 2.11
O  0.5000  0.5000  0.2464  1 C 2.10, 4 Mg 2.11, 1 Zn 2.16
O  0.5000  0.5000  0.7536  1 C 2.10, 4 Mg 2.11, 1 Zn 2.16

---

(2)
Rb3LiO2: optimized geometry, PBE.

Computed properties:
Raw formation energy (kcal/mol of atoms): -23.408
Calculated volume (Å³ per cell): 290.8
Calculated total energy (eV per atom): -3.47

a b c (Å): 6.4030 6.4030 7.0970
angles (deg): 90.00 90.00 87.98
Closest atoms and distances in Å follow each position.
Atoms (fractional coordinates):
Rb  0.2104  0.7896  0.7500  2 O 2.58
Rb  0.3060  0.3060  0.0000  3 O 2.81-2.82
Rb  0.3060  0.3060  0.5000  3 O 2.81-2.82
Rb  0.6940  0.6940  0.0000  3 O 2.81-2.82
Rb  0.6940  0.6940  0.5000  3 O 2.81-2.82
Rb  0.7896  0.2104  0.2500  2 O 2.58
Li  0.1424  0.8576  0.2500  1 O 1.94
Li  0.8576  0.1424  0.7500  1 O 1.94
O  0.0000  0.0000  0.0000  2 Li 2.18
O  0.0000  0.0000  0.5000  2 Li 2.18
O  0.3610  0.6390  0.2500  1 Li 1.94
O  0.6390  0.3610  0.7500  1 Li 1.94

---

(3)
BaSrLiHg: optimized geometry, PBE.

Computed properties:
DFT formation energy (meV per atom): -251
Calculated volume (Å³ per cell): 144.4
Excess energy over the best structure of this formula in the dataset (eV per atom): 0.0177
Calculated total energy (eV per atom): -1.71

a b c (Å): 5.8883 5.8883 5.8883
angles (deg): 60.00 60.00 60.00
Closest atoms and distances in Å follow each position.
Atoms (fractional coordinates):
Ba  0.0000  0.0000  0.0000  4 Li 3.61, 4 Hg 3.61
Sr  0.5000  0.5000  0.5000  4 Hg 3.61, 4 Li 3.61
Li  0.2500  0.2500  0.2500  4 Sr 3.61, 4 Ba 3.61
Hg  0.7500  0.7500  0.7500  4 Ba 3.61, 4 Sr 3.61

---

(4)
Tb3AgHg5: optimized geometry, PBE.

Computed properties:
DFT formation energy (meV per atom): -387
Calculated volume (Å³ per cell): 436.5
Calculated total energy (eV per atom): -2.42

a b c (Å): 8.9687 8.9687 6.2650
angles (deg): 90.00 90.00 120.00
Closest atoms and distances in Å follow each position.
Atoms (fractional coordinates):
Tb  0.0000  0.3503  0.2500  9 Hg 2.98-3.31
Tb  0.0000  0.6497  0.7500  9 Hg 2.98-3.31
Tb  0.3503  0.0000  0.2500  9 Hg 2.98-3.31
Tb  0.3503  0.3503  0.7500  9 Hg 2.98-3.31
Tb  0.6497  0.0000  0.7500  9 Hg 2.98-3.31
Tb  0.6497  0.6497  0.2500  9 Hg 2.98-3.31
Ag  0.0000  0.0000  0.0000  2 Ag 3.13, 6 Hg 3.20
Ag  0.0000  0.0000  0.5000  2 Ag 3.13, 6 Hg 3.20
Hg  0.0000  0.3108  0.7500  5 Tb 2.98-3.15, 2 Ag 3.20
Hg  0.0000  0.6892  0.2500  5 Tb 2.98-3.15, 2 Ag 3.20
Hg  0.3108  0.0000  0.7500  5 Tb 2.98-3.15, 2 Ag 3.20
Hg  0.3108  0.3108  0.2500  5 Tb 2.98-3.15, 2 Ag 3.20
Hg  0.3333  0.6667  0.0000  8 Hg 3.13-3.47, 6 Tb 3.31
Hg  0.3333  0.6667  0.5000  8 Hg 3.13-3.47, 6 Tb 3.31
Hg  0.6667  0.3333  0.0000  8 Hg 3.13-3.47, 6 Tb 3.31
Hg  0.6667  0.3333  0.5000  8 Hg 3.13-3.47, 6 Tb 3.31
Hg  0.6892  0.0000  0.2500  5 Tb 2.98-3.15, 2 Ag 3.20
Hg  0.6892  0.6892  0.7500  5 Tb 2.98-3.15, 2 Ag 3.20

---

calculated total energy of number 4 (Tb3AgHg5)?
-2.42 eV per atom

---

The highest calculated total energy belongs to which entry?
BaSrLiHg